# 1
{"formula": "Er11Mg9Zn4", "functional": "GGA-PBE", "state": "relaxed", "lattice_angstrom": [[7.307, -11.046, 0.000], [7.307, 11.046, 0.000], [0.000, 0.000, 3.738]], "species": ["Er", "Er", "Er", "Er", "Er", "Er", "Er", "Er", "Er", "Er", "Er", "Mg", "Mg", "Mg", "Mg", "Mg", "Mg", "Mg", "Mg", "Mg", "Zn", "Zn", "Zn", "Zn"], "fractional_positions": [[0.000, 0.000, 0.000], [0.078, 0.416, 0.000], [0.159, 0.841, 0.000], [0.291, 0.291, 0.000], [0.362, 0.638, 0.000], [0.416, 0.078, 0.000], [0.584, 0.922, 0.000], [0.638, 0.362, 0.000], [0.709, 0.709, 0.000], [0.841, 0.159, 0.000], [0.922, 0.584, 0.000], [0.065, 0.214, 0.500], [0.147, 0.633, 0.500], [0.214, 0.065, 0.500], [0.367, 0.853, 0.500], [0.500, 0.500, 0.500], [0.633, 0.147, 0.500], [0.786, 0.935, 0.500], [0.853, 0.367, 0.500], [0.935, 0.786, 0.500], [0.260, 0.451, 0.500], [0.451, 0.260, 0.500], [0.549, 0.740, 0.500], [0.740, 0.549, 0.500]], "ef_kcal_per_mol_atoms": -3.45, "crystal_system": "orthorhombic"}

=====

# 2
{"formula": "Tb2URu2", "functional": "GGA-PBE", "state": "relaxed", "lattice_angstrom": [[5.024, -2.967, 0.000], [5.024, 2.967, 0.000], [-1.329, 0.000, 7.635]], "species": ["Tb", "Tb", "Tb", "Tb", "U", "U", "Ru", "Ru", "Ru", "Ru"], "fractional_positions": [[0.025, 0.277, 0.151], [0.277, 0.025, 0.651], [0.723, 0.975, 0.349], [0.975, 0.723, 0.849], [0.357, 0.643, 0.250], [0.643, 0.357, 0.750], [0.248, 0.504, 0.486], [0.496, 0.752, 0.014], [0.504, 0.248, 0.986], [0.752, 0.496, 0.514]], "ef_kcal_per_mol_atoms": -8.61, "crystal_system": "monoclinic"}

=====

# 3
{"formula": "LiPu2Hg4", "functional": "GGA-PBE", "state": "relaxed", "lattice_angstrom": [[-2.319, 2.319, 7.774], [2.319, -2.319, 7.774], [2.319, 2.319, -7.774]], "species": ["Li", "Pu", "Pu", "Hg", "Hg", "Hg", "Hg"], "fractional_positions": [[0.000, 0.000, 0.000], [0.250, 0.250, 0.000], [0.750, 0.750, 0.000], [0.099, 0.599, 0.500], [0.401, 0.901, 0.500], [0.599, 0.099, 0.500], [0.901, 0.401, 0.500]], "ef_kcal_per_mol_atoms": -3.29, "crystal_system": "tetragonal"}

=====

# 4
{"formula": "PmSI", "functional": "GGA-PBE", "state": "relaxed", "lattice_angstrom": [[4.296, 0.000, 0.000], [-2.148, 3.720, 0.000], [0.000, 0.000, 7.270]], "species": ["Pm", "S", "I"], "fractional_positions": [[0.000, 0.000, 0.000], [0.333, 0.667, 0.155], [0.667, 0.333, 0.708]], "relative_energy_mev_per_atom": 71, "crystal_system": "trigonal", "e_form_raw_ev_per_atom": -1.73}

=====

# 5
{"formula": "Nb2PdS", "functional": "GGA-PBE", "state": "relaxed", "lattice_angstrom": [[-3.463, 3.463, 2.863], [3.463, -3.463, 2.863], [3.463, 3.463, -2.863]], "species": ["Nb", "Nb", "Nb", "Nb", "Pd", "Pd", "S", "S"], "fractional_positions": [[0.091, 0.625, 0.966], [0.375, 0.341, 0.466], [0.659, 0.125, 0.034], [0.875, 0.909, 0.534], [0.250, 0.750, 0.500], [0.500, 0.500, 0.000], [0.000, 0.000, 0.000], [0.750, 0.250, 0.500]], "crystal_system": "tetragonal", "e_form_raw_ev_per_atom": -0.19}

=====

# 6
{"formula": "La2TbTl4", "functional": "GGA-PBE", "state": "relaxed", "lattice_angstrom": [[-2.902, 2.902, 8.111], [2.902, -2.902, 8.111], [2.902, 2.902, -8.111]], "species": ["La", "La", "Tb", "Tl", "Tl", "Tl", "Tl"], "fractional_positions": [[0.108, 0.108, 0.000], [0.892, 0.892, 0.000], [0.500, 0.500, 0.000], [0.000, 0.500, 0.500], [0.311, 0.311, 0.000], [0.500, 0.000, 0.500], [0.689, 0.689, 0.000]], "ef_kcal_per_mol_atoms": 1.61, "relative_energy_mev_per_atom": 335, "crystal_system": "tetragonal"}

=====

# 7
{"formula": "PuPa2Pt", "functional": "GGA-PBE", "state": "relaxed", "lattice_angstrom": [[5.187, 0.000, 0.000], [0.000, 5.187, 0.000], [0.000, 0.000, 3.232]], "species": ["Pu", "Pa", "Pa", "Pt"], "fractional_positions": [[0.000, 0.000, 0.000], [0.000, 0.500, 0.500], [0.500, 0.000, 0.500], [0.500, 0.500, 0.000]], "ef_kcal_per_mol_atoms": -9.73, "relative_energy_mev_per_atom": 0, "crystal_system": "tetragonal"}

=====

# 8
{"formula": "LiAcZn", "functional": "GGA-PBE", "state": "relaxed", "lattice_angstrom": [[0.000, 3.594, 3.594], [3.594, 0.000, 3.594], [3.594, 3.594, 0.000]], "species": ["Li", "Ac", "Zn"], "fractional_positions": [[0.000, 0.000, 0.000], [0.500, 0.500, 0.500], [0.250, 0.250, 0.250]], "ef_kcal_per_mol_atoms": 1.03, "relative_energy_mev_per_atom": 161, "crystal_system": "cubic"}

=====

# 9
{"formula": "Cd3Sn5Pb2", "functional": "GGA-PBE", "state": "relaxed", "lattice_angstrom": [[-6.241, 7.347, 3.156], [6.241, -7.347, 3.156], [6.241, 7.347, -3.156]], "species": ["Cd", "Cd", "Cd", "Cd", "Cd", "Cd", "Sn", "Sn", "Sn", "Sn", "Sn", "Sn", "Sn", "Sn", "Sn", "Sn", "Pb", "Pb", "Pb", "Pb"], "fractional_positions": [[0.143, 0.636, 0.778], [0.250, 0.250, 0.000], [0.357, 0.136, 0.493], [0.643, 0.864, 0.507], [0.750, 0.750, 0.000], [0.857, 0.364, 0.222], [0.176, 0.036, 0.212], [0.250, 0.014, 0.764], [0.250, 0.486, 0.236], [0.250, 0.750, 0.500], [0.324, 0.536, 0.859], [0.676, 0.464, 0.141], [0.750, 0.250, 0.500], [0.750, 0.514, 0.764], [0.750, 0.986, 0.236], [0.824, 0.964, 0.788], [0.197, 0.313, 0.510], [0.303, 0.813, 0.116], [0.697, 0.187, 0.884], [0.803, 0.687, 0.490]], "ef_kcal_per_mol_atoms": 2.24, "crystal_system": "orthorhombic"}

=====

# 10
{"formula": "YPaRe4", "functional": "GGA-PBE", "state": "relaxed", "lattice_angstrom": [[0.000, 3.845, 3.845], [3.845, 0.000, 3.845], [3.845, 3.845, 0.000]], "species": ["Y", "Pa", "Re", "Re", "Re", "Re"], "fractional_positions": [[0.000, 0.000, 0.000], [0.750, 0.750, 0.750], [0.375, 0.375, 0.375], [0.375, 0.375, 0.876], [0.375, 0.876, 0.375], [0.876, 0.375, 0.375]], "ef_kcal_per_mol_atoms": -2.28, "crystal_system": "cubic"}

=====

# 11
{"formula": "BaLi2Ir", "functional": "GGA-PBE", "state": "relaxed", "lattice_angstrom": [[3.438, 0.000, 0.000], [0.000, 4.668, 0.000], [-0.851, 0.000, 5.606]], "species": ["Ba", "Li", "Li", "Ir"], "fractional_positions": [[0.000, 0.000, 0.000], [0.285, 0.500, 0.655], [0.715, 0.500, 0.345], [0.500, 0.000, 0.500]], "ef_kcal_per_mol_atoms": 3.98, "relative_energy_mev_per_atom": 143, "crystal_system": "monoclinic"}

=====

# 12
{"formula": "SrNiAs2", "functional": "GGA-PBE", "state": "relaxed", "lattice_angstrom": [[3.489, 0.000, 0.000], [0.000, 3.489, 0.000], [0.000, 0.000, 6.805]], "species": ["Sr", "Ni", "As", "As"], "fractional_positions": [[0.000, 0.000, 0.000], [0.500, 0.500, 0.640], [0.000, 0.000, 0.539], [0.500, 0.500, 0.294]], "ef_kcal_per_mol_atoms": -4.29, "crystal_system": "tetragonal"}

=====

| no. | Fermi-level density of states (states/eV/atom) |
| --- | --- |
| 1 | 1.080 |
| 2 | 1.549 |
| 3 | 1.669 |
| 4 | 0.000 |
| 5 | 0.584 |
| 6 | 1.778 |
| 7 | 2.138 |
| 8 | 1.417 |
| 9 | 0.437 |
| 10 | 2.288 |
| 11 | 0.691 |
| 12 | 0.729 |